DFT (GGA-PBEsol) results for crystalline PW3C at its relaxed geometry.

The calculation puts the total moment at 0.000 μB per formula unit. The density of states at the Fermi level comes out at 2.69 states/eV/f.u. As for the formation enthalpy at 0 K: 518 meV per atom.

The structure belongs to space group Pm-3m (No. 221); the cell edges are 4.087, 4.087 and 4.087 Å and the angles 90.00°, 90.00° and 90.00°. Symmetry generates all atoms from P at (0.000, 0.000, 0.000), W at (0.000, 0.500, 0.500) and C at (0.500, 0.500, 0.500).


DFT (GGA-PBEsol) results for crystalline Sc4Co at its relaxed geometry.

The calculation puts the total moment at 1.197 μB per formula unit. The density of states at the Fermi level comes out at 5.44 states/eV/f.u. As for the formation enthalpy at 0 K: 549 meV per atom.

The structure belongs to space group I4/mmm (No. 139); the cell edges are 3.574, 3.574 and 16.633 Å and the angles 90.00°, 90.00° and 90.00°. Symmetry generates all atoms from Sc at (0.000, 0.000, 0.083), Sc at (0.000, 0.500, 0.250) and Co at (0.000, 0.000, 0.500).


DFT (GGA-PBEsol) results for crystalline MgOsW at its relaxed geometry.

The calculation puts the total moment at 0.000 μB per formula unit. The density of states at the Fermi level comes out at 2.73 states/eV/f.u. As for the formation enthalpy at 0 K: 607 meV per atom. The value obtained for the energy above the most stable polymorph in this dataset is 411 meV/atom.

The structure belongs to space group F-43m (No. 216); the cell edges are 5.996, 5.996 and 5.996 Å and the angles 90.00°, 90.00° and 90.00°. Symmetry generates all atoms from Mg at (0.000, 0.000, 0.000), Os at (0.250, 0.250, 0.750) and W at (0.000, 0.000, 0.500).


DFT (GGA-PBEsol) results for crystalline HoPd2Pb at its relaxed geometry.

The calculation puts the total moment at 0.000 μB per formula unit. The density of states at the Fermi level comes out at 1.90 states/eV/f.u. As for the formation enthalpy at 0 K: -714 meV per atom.

The structure belongs to space group Fm-3m (No. 225); the cell edges are 6.743, 6.743 and 6.743 Å and the angles 90.00°, 90.00° and 90.00°. Symmetry generates all atoms from Ho at (0.000, 0.000, 0.000), Pd at (0.250, 0.250, 0.250) and Pb at (0.000, 0.000, 0.500).


DFT (GGA-PBEsol) results for crystalline Ba3PdRu at its relaxed geometry.

The calculation puts the total moment at 0.000 μB per formula unit. The density of states at the Fermi level comes out at 3.15 states/eV/f.u. As for the formation enthalpy at 0 K: 337 meV per atom.

The structure belongs to space group Pm-3m (No. 221); the cell edges are 5.631, 5.631 and 5.631 Å and the angles 90.00°, 90.00° and 90.00°. Symmetry generates all atoms from Ba at (0.000, 0.000, 0.500), Pd at (0.500, 0.500, 0.500) and Ru at (0.000, 0.000, 0.000).


DFT (GGA-PBEsol) results for crystalline Ru2PbSe at its relaxed geometry.

The calculation puts the total moment at 0.001 μB per formula unit. The density of states at the Fermi level comes out at 3.60 states/eV/f.u. The value obtained for the energy above the most stable polymorph in this dataset is 142 meV/atom. The value obtained for the uncorrected formation energy is 1.5 eV/f.u.

The structure belongs to space group R-3m (No. 166, hexagonal axes); the cell edges are 3.1013, 3.1013 and 24.0735 Å and the angles 90.00°, 90.00° and 120.00°. Symmetry generates all atoms from Ru at (0.0000, 0.0000, 0.2406), Pb at (0.0000, 0.0000, 0.0000) and Se at (0.0000, 0.0000, 0.5000).


> What is the formula in the third record?

MgOsW


> Look up the total moment of the first one.

0.000 μB per formula unit


> Which of these has the highest total moment?

Sc4Co


> The highest total moment belongs to which entry?

Sc4Co